Here is a relaxed structure of SmThAs2 from Alexandria. Energies are from PBE-GGA.

## Properties
- symmetry = P6_3/mmc, No. 194
- total moment (μB per atom) = 0.00
- DFT formation energy (eV/atom) = -1.434
- energy above the most stable polymorph in this dataset (meV per atom) = 43

Lattice parameters (Å, degrees): 4.2160 4.2160 13.9738 90.00 90.00 120.00
Last column: nearest neighbours and their distance in Å.
Positions (direct):
Sm1 0.3333 0.6667 0.2500  6 As 3.01
Sm2 0.6667 0.3333 0.7500  6 As 3.01
Th1 0.0000 0.0000 0.0000  6 As 2.98
Th2 0.0000 0.0000 0.5000  6 As 2.98
As1 0.3333 0.6667 0.6234  3 Th 2.98, 3 Sm 3.01
As2 0.3333 0.6667 0.8766  3 Th 2.98, 3 Sm 3.01
As3 0.6667 0.3333 0.1234  3 Th 2.98, 3 Sm 3.01
As4 0.6667 0.3333 0.3766  3 Th 2.98, 3 Sm 3.01